[1]
A crystal of Li2SiAg relaxed with PBEsol. Source: the Alexandria database, functional meta-GGA SCAN.

Results
Space-group type: P4/mmm (123)
Formation energy (no corrections): -0.113 eV/atom
Total moment: 0.0 μB/cell

Unit cell a=3.777 b=3.777 c=4.043 alpha=90.00 beta=90.00 gamma=90.00
Fractional coordinates of all 4 atoms:
1 Ag 0.000 0.000 0.500
2 Li 0.000 0.500 0.000
3 Li 0.500 0.000 0.000
4 Si 0.500 0.500 0.500

---

[2]
A crystal of MgAg2 relaxed with PBEsol. Source: the Alexandria database, functional meta-GGA SCAN.

Results
ΔE_f: -0.15 eV/atom
Space-group type: C2/m (12)
Total moment: 0.0 μB/cell

Unit cell a=3.082 b=5.412 c=6.939 alpha=108.54 beta=90.00 gamma=106.54
Fractional coordinates of all 6 atoms:
1 Ag 0.034 0.067 0.290
2 Ag 0.966 0.933 0.710
3 Ag 0.353 0.706 0.960
4 Ag 0.647 0.294 0.040
5 Mg 0.674 0.347 0.635
6 Mg 0.326 0.653 0.365

---

[3]
A crystal of Na3MnRe relaxed with PBEsol. Source: the Alexandria database, functional meta-GGA SCAN.

Results
ΔE_f: 1.89 eV/atom
Space-group type: Pm-3m (221)
Total moment: 0.5 μB/cell

Unit cell a=5.369 b=5.369 c=5.369 alpha=90.00 beta=90.00 gamma=90.00
Site moments in Bohr magnetons follow the coordinates.
Fractional coordinates of all 5 atoms:
1 Re 0.500 0.500 0.500  -3.43
2 Mn 0.000 0.000 0.000  4.49
3 Na 0.000 0.500 0.000  0.02
4 Na 0.500 0.000 0.000  0.02
5 Na 0.000 0.000 0.500  0.02

---

[4]
A crystal of AlZn3 relaxed with PBEsol. Source: the Alexandria database, functional meta-GGA SCAN.

Results
ΔE_f: 0.02 eV/atom
Space-group type: P4/mmm (123)
Total moment: 0.0 μB/cell

Unit cell a=2.760 b=2.760 c=7.732 alpha=90.00 beta=90.00 gamma=90.00
Fractional coordinates of all 4 atoms:
1 Zn 0.500 0.500 0.743
2 Zn 0.000 0.000 0.500
3 Zn 0.500 0.500 0.257
4 Al 0.000 0.000 0.000

---

[5]
A crystal of LiCaMo2As relaxed with PBEsol. Source: the Alexandria database, functional meta-GGA SCAN.

Results
ΔE_f: 0.95 eV/atom
Space-group type: P4/mmm (123)
Total moment: 0.0 μB/cell

Unit cell a=4.341 b=4.355 c=4.355 alpha=90.00 beta=90.00 gamma=90.00
Fractional coordinates of all 5 atoms:
1 Mo 0.000 0.000 0.500
2 Mo 0.000 0.500 0.000
3 Ca 0.500 0.500 0.500
4 As 0.500 0.000 0.000
5 Li 0.000 0.000 0.000

---

[6]
A crystal of Ba2MgTa relaxed with PBEsol. Source: the Alexandria database, functional meta-GGA SCAN.

Results
ΔE_f: 0.83 eV/atom
Space-group type: Imm2 (44)
Total moment: 1.2 μB/cell

Unit cell a=3.500 b=5.942 c=7.056 alpha=114.90 beta=104.36 gamma=90.00
Site moments in Bohr magnetons follow the coordinates.
Fractional coordinates of all 4 atoms:
1 Ba 0.766 0.266 0.531  0.03
2 Ba 0.972 0.972 0.944  0.05
3 Ta 0.224 0.724 0.448  0.73
4 Mg 0.539 0.539 0.078  0.00

---

[7]
A crystal of Cu2P2O7 relaxed with PBEsol. Source: the Alexandria database, functional meta-GGA SCAN.

Results
Space-group type: C2/m (12)
Formation energy (no corrections): -1.885 eV/atom
Total moment: 2.0 μB/cell

Unit cell a=4.575 b=5.341 c=5.341 alpha=98.86 beta=103.02 gamma=103.02
Site moments in Bohr magnetons follow the coordinates.
Fractional coordinates of all 11 atoms:
1 O 0.278 0.621 0.616  0.10
2 O 0.226 0.048 0.355  0.06
3 O 0.500 0.004 0.996  0.00
4 O 0.226 0.362 0.043  0.06
5 O 0.774 0.957 0.638  0.06
6 O 0.722 0.384 0.379  0.10
7 O 0.774 0.645 0.952  0.06
8 Cu 0.000 0.691 0.309  0.75
9 Cu 0.000 0.315 0.685  0.75
10 P 0.593 0.804 0.798  0.01
11 P 0.407 0.202 0.196  0.01

---

[8]
A crystal of FeMo2Ir relaxed with PBEsol. Source: the Alexandria database, functional meta-GGA SCAN.

Results
ΔE_f: -0.06 eV/atom
Space-group type: Pmmm (47)
Total moment: 1.6 μB/cell

Unit cell a=2.703 b=3.757 c=5.377 alpha=90.00 beta=90.00 gamma=90.00
Site moments in Bohr magnetons follow the coordinates.
Fractional coordinates of all 4 atoms:
1 Fe 0.500 0.500 0.000  2.02
2 Mo 0.000 0.000 0.238  -0.23
3 Mo 0.000 0.000 0.762  -0.23
4 Ir 0.500 0.500 0.500  0.00

---

[9]
A crystal of MgBeHg2 relaxed with PBEsol. Source: the Alexandria database, functional meta-GGA SCAN.

Results
ΔE_f: 0.21 eV/atom
Space-group type: I-42d (122)
Total moment: 0.0 μB/cell

Unit cell a=4.304 b=4.304 c=9.306 alpha=103.37 beta=103.37 gamma=90.00
Fractional coordinates of all 8 atoms:
1 Hg 0.842 0.375 0.250
2 Hg 0.408 0.875 0.250
3 Hg 0.125 0.158 0.750
4 Hg 0.625 0.592 0.750
5 Mg 0.000 0.000 0.000
6 Mg 0.250 0.750 0.500
7 Be 0.750 0.250 0.500
8 Be 0.500 0.500 0.000

---

[10]
A crystal of CsTmSiS4 relaxed with PBEsol. Source: the Alexandria database, functional meta-GGA SCAN.

Results
Space-group type: P2_12_12_1 (19)
Formation energy (no corrections): -1.638 eV/atom
Total moment: 0.0 μB/cell

Unit cell a=6.238 b=6.564 c=17.486 alpha=90.00 beta=90.00 gamma=90.00
Fractional coordinates of all 28 atoms:
1 S 0.398 0.420 0.718
2 S 0.939 0.748 0.648
3 S 0.560 0.486 0.904
4 S 0.940 0.514 0.404
5 S 0.060 0.014 0.096
6 S 0.100 0.751 0.843
7 S 0.440 0.986 0.596
8 S 0.061 0.248 0.852
9 S 0.600 0.749 0.157
10 S 0.602 0.920 0.782
11 S 0.561 0.252 0.148
12 S 0.102 0.580 0.218
13 S 0.439 0.752 0.352
14 S 0.900 0.251 0.657
15 S 0.400 0.249 0.343
16 S 0.898 0.080 0.282
17 Cs 0.011 0.008 0.469
18 Cs 0.489 0.992 0.969
19 Cs 0.989 0.508 0.031
20 Cs 0.511 0.492 0.531
21 Tm 0.708 0.479 0.272
22 Tm 0.208 0.021 0.728
23 Tm 0.292 0.979 0.228
24 Tm 0.792 0.521 0.772
25 Si 0.209 0.518 0.331
26 Si 0.709 0.982 0.669
27 Si 0.791 0.018 0.169
28 Si 0.291 0.482 0.831

---

[11]
A crystal of Mn3BBr relaxed with PBEsol. Source: the Alexandria database, functional meta-GGA SCAN.

Results
Space-group type: Pm-3m (221)
Formation energy (no corrections): 1.614 eV/atom
Total moment: 10.2 μB/cell

Unit cell a=4.391 b=4.391 c=4.391 alpha=90.00 beta=90.00 gamma=90.00
Site moments in Bohr magnetons follow the coordinates.
Fractional coordinates of all 5 atoms:
1 Mn 0.500 0.000 0.000  3.56
2 Mn 0.000 0.000 0.500  3.56
3 Mn 0.000 0.500 0.000  3.56
4 Br 0.000 0.000 0.000  -0.05
5 B 0.500 0.500 0.500  -0.17

---

[12]
A crystal of Si6NiMo9 relaxed with PBEsol. Source: the Alexandria database, functional meta-GGA SCAN.

Results
Space-group type: I-42m (121)
Formation energy (no corrections): -0.360 eV/atom
Total moment: 0.0 μB/cell

Unit cell a=4.872 b=7.149 c=7.149 alpha=83.33 beta=70.08 gamma=70.08
Fractional coordinates of all 16 atoms:
1 Mo 0.024 0.647 0.803
2 Mo 0.329 0.197 0.647
3 Mo 0.500 0.000 0.000
4 Mo 0.173 0.803 0.353
5 Mo 0.527 0.803 0.647
6 Mo 0.976 0.197 0.353
7 Mo 0.671 0.353 0.803
8 Mo 0.827 0.647 0.197
9 Mo 0.473 0.353 0.197
10 Si 0.932 0.000 0.679
11 Si 0.611 0.000 0.321
12 Si 0.000 0.500 0.500
13 Si 0.389 0.679 0.000
14 Si 0.500 0.500 0.500
15 Si 0.068 0.321 0.000
16 Ni 0.000 0.000 0.000

---

[13]
A crystal of IrSeNF2 relaxed with PBEsol. Source: the Alexandria database, functional meta-GGA SCAN.

Results
Space-group type: P4/mmm (123)
Formation energy (no corrections): 1.054 eV/atom
Total moment: 2.5 μB/cell

Unit cell a=3.822 b=4.210 c=4.210 alpha=90.00 beta=90.00 gamma=90.00
Site moments in Bohr magnetons follow the coordinates.
Fractional coordinates of all 5 atoms:
1 N 0.500 0.000 0.000  0.08
2 F 0.000 0.500 0.000  0.03
3 F 0.000 0.000 0.500  0.03
4 Ir 0.500 0.500 0.500  2.21
5 Se 0.000 0.000 0.000  0.01

---

[14]
A crystal of CdMoI3 relaxed with PBEsol. Source: the Alexandria database, functional meta-GGA SCAN.

Results
Space-group type: Pm-3m (221)
Formation energy (no corrections): 0.188 eV/atom
Total moment: 3.0 μB/cell

Unit cell a=5.495 b=5.495 c=5.495 alpha=90.00 beta=90.00 gamma=90.00
Site moments in Bohr magnetons follow the coordinates.
Fractional coordinates of all 5 atoms:
1 I 0.000 0.000 0.500  -0.02
2 I 0.500 0.000 0.000  -0.02
3 I 0.000 0.500 0.000  -0.02
4 Mo 0.000 0.000 0.000  3.04
5 Cd 0.500 0.500 0.500  -0.19

---

[15]
A crystal of Sr3CaSn4O12 relaxed with PBEsol. Source: the Alexandria database, functional meta-GGA SCAN.

Results
Space-group type: Pm (6)
Formation energy (no corrections): -2.452 eV/atom
Total moment: 0.0 μB/cell

Unit cell a=5.667 b=5.736 c=8.049 alpha=90.00 beta=90.00 gamma=89.93
Fractional coordinates of all 20 atoms:
1 Sn 0.500 0.998 0.752
2 Sn 0.001 0.501 0.248
3 Sn 0.001 0.501 0.752
4 Sn 0.500 0.998 0.248
5 O 0.787 0.215 0.208
6 O 0.207 0.791 0.289
7 O 0.288 0.286 0.292
8 O 0.703 0.704 0.198
9 O 0.924 0.487 0.500
10 O 0.787 0.215 0.792
11 O 0.098 0.518 0.000
12 O 0.703 0.704 0.802
13 O 0.207 0.791 0.711
14 O 0.288 0.286 0.708
15 O 0.578 0.976 0.500
16 O 0.424 0.040 0.000
17 Sr 0.491 0.533 0.500
18 Sr 0.994 0.964 0.000
19 Sr 0.011 0.040 0.500
20 Ca 0.511 0.452 0.000

---

[16]
A crystal of NaZnP2S relaxed with PBEsol. Source: the Alexandria database, functional meta-GGA SCAN.

Results
Space-group type: P4/mmm (123)
Formation energy (no corrections): 1.390 eV/atom
Total moment: 0.0 μB/cell

Unit cell a=4.721 b=4.777 c=4.777 alpha=90.00 beta=90.00 gamma=90.00
Fractional coordinates of all 5 atoms:
1 P 0.000 0.500 0.000
2 P 0.000 0.000 0.500
3 Zn 0.500 0.500 0.500
4 Na 0.000 0.000 0.000
5 S 0.500 0.000 0.000

---

[17]
A crystal of InCuSb2 relaxed with PBEsol. Source: the Alexandria database, functional meta-GGA SCAN.

Results
Space-group type: Cmmm (65)
Formation energy (no corrections): 0.356 eV/atom
Total moment: 0.0 μB/cell

Unit cell a=3.800 b=4.913 c=4.913 alpha=101.97 beta=90.00 gamma=90.00
Fractional coordinates of all 4 atoms:
1 Sb 0.000 0.000 0.500
2 Sb 0.000 0.500 0.000
3 Cu 0.500 0.000 0.000
4 In 0.500 0.500 0.500

---

[18]
A crystal of AlRe2Mo relaxed with PBEsol. Source: the Alexandria database, functional meta-GGA SCAN.

Results
ΔE_f: -0.15 eV/atom
Space-group type: P4/mmm (123)
Total moment: 0.0 μB/cell

Unit cell a=3.074 b=4.338 c=4.338 alpha=90.00 beta=90.00 gamma=90.00
Fractional coordinates of all 4 atoms:
1 Al 0.500 0.500 0.500
2 Re 0.000 0.500 0.000
3 Re 0.000 0.000 0.500
4 Mo 0.500 0.000 0.000

---

[19]
A crystal of LaAl2Ni relaxed with PBEsol. Source: the Alexandria database, functional meta-GGA SCAN.

Results
ΔE_f: -0.56 eV/atom
Space-group type: R-3m (166)
Total moment: 0.0 μB/cell

Unit cell a=4.091 b=4.091 c=6.019 alpha=70.13 beta=70.13 gamma=60.00
Fractional coordinates of all 4 atoms:
1 Al 0.796 0.796 0.611
2 Al 0.204 0.204 0.389
3 Ni 0.500 0.500 0.500
4 La 0.000 0.000 0.000

---

[20]
A crystal of TaTcIr2 relaxed with PBEsol. Source: the Alexandria database, functional meta-GGA SCAN.

Results
ΔE_f: -0.64 eV/atom
Space-group type: P4/mmm (123)
Total moment: 0.0 μB/cell

Unit cell a=3.878 b=3.893 c=3.893 alpha=90.00 beta=90.00 gamma=90.00
Fractional coordinates of all 4 atoms:
1 Ir 0.000 0.000 0.500
2 Ir 0.000 0.500 0.000
3 Ta 0.500 0.500 0.500
4 Tc 0.500 0.000 0.000